A plane-wave DFT calculation with PBE-GGA was carried out for crystalline CuPd at its relaxed geometry.

SG: Pmmn
Energy of formation from the pure elements, meV/atom: 243
Raw total energy, eV/atom: -4.401

Cell: 9.170 4.226 5.258 Å, 90.00 90.00 90.00°
Atoms (fractional coordinates):
Pd1 0.750 0.000 0.250
Cu1 0.000 0.047 0.000
Cu2 0.500 0.953 0.500
Pd2 0.250 0.000 0.750
Pd3 0.000 0.002 0.500
Pd4 0.500 0.998 0.000
Cu3 0.665 0.500 0.000
Pd5 0.750 0.000 0.750
Cu4 0.335 0.500 0.000
Cu5 0.835 0.500 0.500
Cu6 0.165 0.500 0.500
Pd6 0.250 0.000 0.250

=====

A plane-wave DFT calculation with PBE-GGA was carried out for crystalline Cu4Pd3 at its relaxed geometry.

SG: R-3
Energy of formation from the pure elements, meV/atom: -110
E above lowest polymorph, meV/atom: 0.0
Raw total energy, eV/atom: -4.676

Cell: 5.211 6.701 6.701 Å, 113.53 105.02 105.02°
Atoms (fractional coordinates):
Cu1 0.203 0.859 0.275
Cu2 0.500 0.000 0.000
Cu3 0.927 0.725 0.584
Cu4 0.657 0.584 0.859
Pd1 0.852 0.432 0.146
Pd2 0.295 0.146 0.714
Cu5 0.000 0.000 0.000
Cu6 0.073 0.275 0.416
Pd3 0.148 0.568 0.854
Pd4 0.580 0.286 0.432
Pd5 0.705 0.854 0.286
Cu7 0.797 0.141 0.725
Pd6 0.420 0.714 0.568
Cu8 0.343 0.416 0.141

=====

A plane-wave DFT calculation with PBE-GGA was carried out for crystalline Cu3Pd8 at its relaxed geometry.

SG: R-3
Energy of formation from the pure elements, meV/atom: 371
E above lowest polymorph, meV/atom: 424.1
Raw total energy, eV/atom: -4.523

Cell: 5.653 5.653 5.653 Å, 90.73 90.73 90.73°
Atoms (fractional coordinates):
Cu1 0.500 0.500 0.000
Pd1 0.636 0.636 0.636
Pd2 0.364 0.364 0.364
Pd3 0.886 0.098 0.685
Cu2 0.500 0.000 0.500
Pd4 0.685 0.886 0.098
Pd5 0.114 0.902 0.315
Pd6 0.902 0.315 0.114
Cu3 0.000 0.500 0.500
Pd7 0.315 0.114 0.902
Pd8 0.098 0.685 0.886

=====

A plane-wave DFT calculation with PBE-GGA was carried out for crystalline CuPd at its relaxed geometry.

SG: Fm-3m
Energy of formation from the pure elements, meV/atom: 373
Raw total energy, eV/atom: -4.271

Cell: 5.014 5.014 5.014 Å, 90.00 90.00 90.00°
Atoms (fractional coordinates):
Pd1 0.500 0.000 0.000
Pd2 0.000 0.000 0.500
Cu1 0.000 0.000 0.000
Cu2 0.500 0.500 0.000
Cu3 0.000 0.500 0.500
Pd3 0.000 0.500 0.000
Pd4 0.500 0.500 0.500
Cu4 0.500 0.000 0.500

=====

A plane-wave DFT calculation with PBE-GGA was carried out for crystalline CuPd at its relaxed geometry.

SG: P6_3/mmc
Energy of formation from the pure elements, meV/atom: 654
Raw total energy, eV/atom: -3.991

Cell: 4.226 4.226 4.992 Å, 90.00 90.00 120.00°
Atoms (fractional coordinates):
Cu1 0.667 0.333 0.750
Pd1 0.667 0.333 0.250
Cu2 0.333 0.667 0.250
Pd2 0.333 0.667 0.750

=====

A plane-wave DFT calculation with PBE-GGA was carried out for crystalline Cu5Pd at its relaxed geometry.

SG: Cmmm
Energy of formation from the pure elements, meV/atom: -70
Raw total energy, eV/atom: -4.349

Cell: 3.682 3.723 5.804 Å, 108.71 90.00 90.00°
Atoms (fractional coordinates):
Cu1 0.500 0.170 0.340
Cu2 0.500 0.830 0.660
Cu3 0.000 0.670 0.340
Pd1 0.000 0.000 0.000
Cu4 0.500 0.500 0.000
Cu5 0.000 0.330 0.660

=====

A plane-wave DFT calculation with PBE-GGA was carried out for crystalline Cu3Pd7 at its relaxed geometry.

SG: P6_3mc
Energy of formation from the pure elements, meV/atom: 72
E above lowest polymorph, meV/atom: 132.7
Raw total energy, eV/atom: -4.792

Cell: 5.949 7.652 7.652 Å, 120.00 90.00 90.00°
Atoms (fractional coordinates):
Cu1 0.845 0.430 0.215
Cu2 0.345 0.570 0.785
Pd1 0.669 0.464 0.536
Pd2 0.169 0.536 0.072
Cu3 0.845 0.785 0.215
Pd3 0.951 0.123 0.877
Cu4 0.845 0.785 0.570
Pd4 0.669 0.464 0.928
Cu5 0.345 0.215 0.785
Pd5 0.951 0.755 0.877
Pd6 0.451 0.877 0.123
Pd7 0.669 0.072 0.536
Pd8 0.451 0.877 0.755
Pd9 0.510 0.667 0.333
Pd10 0.951 0.123 0.245
Pd11 0.169 0.928 0.464
Cu6 0.345 0.215 0.430
Pd12 0.169 0.536 0.464
Pd13 0.451 0.245 0.123
Pd14 0.010 0.333 0.667

=====

A plane-wave DFT calculation with PBE-GGA was carried out for crystalline CuPd4 at its relaxed geometry.

SG: Pbam
Energy of formation from the pure elements, meV/atom: 181
E above lowest polymorph, meV/atom: 221.8
Raw total energy, eV/atom: -4.792

Cell: 4.041 5.225 7.478 Å, 90.00 90.00 90.00°
Atoms (fractional coordinates):
Pd1 0.500 0.738 0.097
Cu1 0.000 0.000 0.000
Pd2 0.500 0.238 0.403
Pd3 0.000 0.907 0.329
Pd4 0.000 0.593 0.829
Pd5 0.500 0.762 0.597
Pd6 0.500 0.262 0.903
Pd7 0.000 0.093 0.671
Pd8 0.000 0.407 0.171
Cu2 0.000 0.500 0.500

=====

A plane-wave DFT calculation with PBE-GGA was carried out for crystalline CuPd5 at its relaxed geometry.

SG: C2/m
Energy of formation from the pure elements, meV/atom: -26
E above lowest polymorph, meV/atom: 10.0
Raw total energy, eV/atom: -5.036

Cell: 4.780 4.800 4.790 Å, 80.36 119.93 109.60°
Atoms (fractional coordinates):
Pd1 0.638 0.000 0.277
Pd2 0.808 0.500 0.616
Cu1 0.972 0.000 0.945
Pd3 0.472 0.500 0.944
Pd4 0.306 0.000 0.612
Pd5 0.136 0.500 0.273

=====

A plane-wave DFT calculation with PBE-GGA was carried out for crystalline Cu3Pd5 at its relaxed geometry.

SG: Fmmm
Energy of formation from the pure elements, meV/atom: -72
E above lowest polymorph, meV/atom: 0.0
Raw total energy, eV/atom: -4.854

Cell: 4.688 4.688 6.121 Å, 105.17 105.17 108.45°
Atoms (fractional coordinates):
Cu1 0.251 0.251 0.502
Pd1 0.127 0.627 0.254
Cu2 0.749 0.749 0.498
Pd2 0.873 0.373 0.746
Pd3 0.000 0.000 0.000
Cu3 0.500 0.500 0.000
Pd4 0.373 0.873 0.746
Pd5 0.627 0.127 0.254

=====

A plane-wave DFT calculation with PBE-GGA was carried out for crystalline CuPd at its relaxed geometry.

SG: Pm-3m
Energy of formation from the pure elements, meV/atom: -118
Raw total energy, eV/atom: -4.762

Cell: 3.017 3.017 3.017 Å, 90.00 90.00 90.00°
Atoms (fractional coordinates):
Cu1 0.000 0.000 0.000
Pd1 0.500 0.500 0.500

=====

A plane-wave DFT calculation with PBE-GGA was carried out for crystalline Cu4Pd3 at its relaxed geometry.

SG: R-3m
Energy of formation from the pure elements, meV/atom: -19
E above lowest polymorph, meV/atom: 91.4
Raw total energy, eV/atom: -4.585

Cell: 4.287 4.287 6.535 Å, 70.85 70.85 60.00°
Atoms (fractional coordinates):
Pd1 0.279 0.279 0.162
Pd2 0.721 0.721 0.838
Pd3 0.000 0.000 0.000
Cu1 0.860 0.860 0.421
Cu2 0.569 0.569 0.293
Cu3 0.431 0.431 0.707
Cu4 0.140 0.140 0.579

=====

A plane-wave DFT calculation with PBE-GGA was carried out for crystalline Cu3Pd2 at its relaxed geometry.

SG: P4/mmm
Energy of formation from the pure elements, meV/atom: -103
E above lowest polymorph, meV/atom: 0.3
Raw total energy, eV/atom: -4.638

Cell: 3.012 3.012 14.750 Å, 90.00 90.00 90.00°
Atoms (fractional coordinates):
Pd1 0.000 0.000 0.809
Pd2 0.000 0.000 0.603
Cu1 0.000 0.000 0.000
Pd3 0.000 0.000 0.397
Pd4 0.000 0.000 0.191
Cu2 0.500 0.500 0.705
Cu3 0.500 0.500 0.295
Cu4 0.500 0.500 0.089
Cu5 0.500 0.500 0.911
Cu6 0.500 0.500 0.500

=====

A plane-wave DFT calculation with PBE-GGA was carried out for crystalline Pm8Cu2Pd at its relaxed geometry.

SG: C2/m
Energy of formation from the pure elements, meV/atom: -176
E above lowest polymorph, meV/atom: 0.0
Raw total energy, eV/atom: -4.848

Cell: 5.176 6.880 9.395 Å, 105.57 105.99 90.00°
Atoms (fractional coordinates):
Cu1 0.181 0.737 0.361
Pm1 0.199 0.341 0.398
Cu2 0.819 0.263 0.639
Pd1 0.500 0.000 0.000
Pm2 0.409 0.541 0.818
Pm3 0.591 0.459 0.182
Pm4 0.670 0.991 0.341
Pm5 0.970 0.214 0.939
Pm6 0.330 0.009 0.659
Pm7 0.030 0.786 0.061
Pm8 0.801 0.659 0.602

=====

A plane-wave DFT calculation with PBE-GGA was carried out for crystalline Pm4Cu3Pd5 at its relaxed geometry.

SG: C2/m
Energy of formation from the pure elements, meV/atom: -395
Raw total energy, eV/atom: -5.166

Cell: 4.613 7.372 8.429 Å, 92.25 74.12 71.77°
Atoms (fractional coordinates):
Pd1 0.418 0.998 0.167
Cu1 0.304 0.917 0.475
Pd2 0.582 0.002 0.833
Pm1 0.001 0.737 0.260
Pd3 0.500 0.500 0.500
Pd4 0.685 0.621 0.009
Cu2 0.000 0.500 0.500
Pm2 0.769 0.262 0.199
Cu3 0.696 0.083 0.525
Pm3 0.999 0.263 0.740
Pm4 0.231 0.738 0.801
Pd5 0.315 0.379 0.991

=====

A plane-wave DFT calculation with PBE-GGA was carried out for crystalline Pm2CuPd3 at its relaxed geometry.

SG: Immm
Energy of formation from the pure elements, meV/atom: -465
E above lowest polymorph, meV/atom: 180.0
Raw total energy, eV/atom: -5.328

Cell: 4.518 5.518 6.301 Å, 115.97 111.01 90.00°
Atoms (fractional coordinates):
Pd1 0.627 0.627 0.255
Pm1 0.312 0.812 0.624
Pd2 0.373 0.373 0.745
Pm2 0.688 0.188 0.376
Pd3 0.000 0.000 0.000
Cu1 0.000 0.500 0.000

=====

A plane-wave DFT calculation with PBE-GGA was carried out for crystalline PmCu2Pd7 at its relaxed geometry.

SG: Cmmm
Energy of formation from the pure elements, meV/atom: 107
Raw total energy, eV/atom: -4.823

Cell: 4.521 7.151 7.151 Å, 119.67 90.00 90.00°
Atoms (fractional coordinates):
Pm1 0.000 0.000 0.000
Pd1 0.500 0.935 0.693
Cu1 0.500 0.301 0.699
Pd2 0.500 0.500 0.500
Pd3 0.000 0.225 0.775
Cu2 0.500 0.699 0.301
Pd4 0.500 0.065 0.307
Pd5 0.500 0.307 0.065
Pd6 0.000 0.775 0.225
Pd7 0.500 0.693 0.935

=====

A plane-wave DFT calculation with PBE-GGA was carried out for crystalline PmCuPd at its relaxed geometry.

SG: I4mm
Energy of formation from the pure elements, meV/atom: -428
E above lowest polymorph, meV/atom: 122.0
Raw total energy, eV/atom: -5.108

Cell: 3.611 3.611 5.237 Å, 110.16 110.16 90.00°
Atoms (fractional coordinates):
Pd1 0.939 0.939 0.877
Cu1 0.296 0.296 0.593
Pm1 0.615 0.615 0.230

=====

A plane-wave DFT calculation with PBE-GGA was carried out for crystalline Pm3Cu2Pd6 at its relaxed geometry.

SG: Im-3m
Energy of formation from the pure elements, meV/atom: -635
Raw total energy, eV/atom: -5.508

Cell: 8.272 8.272 8.272 Å, 109.47 109.47 109.47°
Atoms (fractional coordinates):
Pd1 0.667 0.333 0.000
Cu1 0.500 0.000 0.000
Pm1 0.000 0.702 0.702
Pd2 0.667 0.000 0.333
Pd3 0.333 0.667 0.667
Cu2 0.000 0.000 0.500
Pd4 0.667 0.333 0.667
Pd5 0.000 0.333 0.667
Pm2 0.702 0.702 0.000
Pd6 0.667 0.667 0.333
Pm3 0.298 0.298 0.000
Pm4 0.000 0.298 0.298
Pd7 0.667 0.333 0.333
Pm5 0.702 0.000 0.702
Pm6 0.298 0.000 0.298
Pd8 0.333 0.333 0.667
Cu3 0.500 0.500 0.500
Cu4 0.000 0.500 0.000
Pd9 0.000 0.667 0.333
Pd10 0.333 0.667 0.000
Pd11 0.333 0.667 0.333
Pd12 0.333 0.000 0.667

=====

A plane-wave DFT calculation with PBE-GGA was carried out for crystalline Pm2Cu5Pd5 at its relaxed geometry.

SG: Pmmm
Energy of formation from the pure elements, meV/atom: -478
Raw total energy, eV/atom: -5.140

Cell: 4.372 5.105 9.122 Å, 90.00 90.00 90.00°
Atoms (fractional coordinates):
Cu1 0.500 0.750 0.743
Pd1 0.000 0.000 0.178
Cu2 0.500 0.750 0.257
Cu3 0.500 0.250 0.743
Pd2 0.000 0.500 0.665
Pm1 0.000 0.000 0.500
Pm2 0.000 0.500 0.000
Pd3 0.000 0.000 0.822
Pd4 0.000 0.500 0.335
Cu4 0.500 0.250 0.257
Cu5 0.500 0.500 0.500
Pd5 0.500 0.000 0.000

=====

A plane-wave DFT calculation with PBE-GGA was carried out for crystalline PmCu2Pd2 at its relaxed geometry.

SG: I4/mmm
Energy of formation from the pure elements, meV/atom: -405
Raw total energy, eV/atom: -5.071

Cell: 4.047 4.047 11.408 Å, 100.22 100.22 90.00°
Atoms (fractional coordinates):
Cu1 0.180 0.180 0.360
Pd1 0.931 0.931 0.862
Pd2 0.069 0.069 0.138
Pd3 0.750 0.250 0.500
Cu2 0.820 0.820 0.640
Pd4 0.250 0.750 0.500
Cu3 0.500 0.000 0.000
Pm1 0.372 0.372 0.745
Pm2 0.628 0.628 0.255
Cu4 0.000 0.500 0.000

=====

A plane-wave DFT calculation with PBE-GGA was carried out for crystalline Pm7Cu2Pd2 at its relaxed geometry.

SG: Cmmm
Energy of formation from the pure elements, meV/atom: -126
Raw total energy, eV/atom: -4.838

Cell: 6.747 7.338 6.747 Å, 90.00 111.00 90.00°
Atoms (fractional coordinates):
Pm1 0.500 0.275 0.000
Pd1 0.296 0.000 0.704
Pm2 0.500 0.725 0.000
Pm3 0.000 0.275 0.500
Cu1 0.165 0.500 0.165
Pm4 0.000 0.725 0.500
Pm5 0.000 0.000 0.000
Pm6 0.500 0.732 0.500
Pd2 0.704 0.000 0.296
Pm7 0.500 0.268 0.500
Cu2 0.835 0.500 0.835